1.
Density functional theory data (PBE-GGA) for crystalline K2CdH at its relaxed geometry.

Computed properties:
DFT total energy = -6.58 eV per cell
relative energy among the computed polymorphs = 5.6 meV/atom

Cell lengths 3.5429, 3.5429, 8.9490 Å; angles 90.00, 90.00, 90.00 degrees
Last column: nearest neighbours and their distance in Å.
Element x y z (fractional)
K 0.0000 0.0000 0.1891  4 H 3.02, 1 K 3.38
K 0.0000 0.0000 0.8109  4 H 3.02, 1 K 3.38
Cd 0.5000 0.5000 0.5000  4 Cd 3.54, 8 K 3.74
H 0.5000 0.5000 0.0000  8 K 3.02

---

2.
Density functional theory data (PBE-GGA) for crystalline SmDyEr5 at its relaxed geometry.

Computed properties:
DFT total energy = -61.48 eV per cell
relative energy among the computed polymorphs = 0.0 meV/atom

Cell lengths 6.6970, 6.6970, 13.6036 Å; angles 61.60, 61.60, 60.31 degrees
Last column: nearest neighbours and their distance in Å.
Element x y z (fractional)
Sm 0.7234 0.2766 0.7500  3 Er 2.96-3.29
Er 0.6104 0.8324 0.7485  2 Er 2.97-3.27, 1 Dy 3.22
Er 0.3507 0.3065 0.4998  4 Er 3.27-3.57, 1 Sm 3.29
Er 0.3896 0.1676 0.2515  2 Er 2.97-3.27, 1 Dy 3.22
Dy 0.0000 0.0000 0.0000  4 Er 3.22-3.57
Sm 0.2766 0.7234 0.2500  3 Er 2.96-3.29
Er 0.8374 0.1626 0.2500  1 Sm 2.96, 2 Er 2.97
Er 0.6935 0.6493 0.0002  4 Er 3.27-3.57, 1 Sm 3.29
Er 0.8324 0.6104 0.2485  2 Er 2.97-3.27, 1 Dy 3.22
Er 0.1626 0.8374 0.7500  1 Sm 2.96, 2 Er 2.97
Dy 0.0000 0.0000 0.5000  4 Er 3.22-3.57
Er 0.1676 0.3896 0.7515  2 Er 2.97-3.27, 1 Dy 3.22
Er 0.3065 0.3507 0.9998  4 Er 3.27-3.57, 1 Sm 3.29
Er 0.6493 0.6935 0.5002  4 Er 3.27-3.57, 1 Sm 3.29

---

3.
Density functional theory data (PBE-GGA) for crystalline LaNd4Sm3S8 at its relaxed geometry.

Computed properties:
DFT total energy = -103.79 eV per cell
uncorrected formation energy = -2.04 eV/atom

Cell lengths 8.1178, 8.1187, 8.1174 Å; angles 119.99, 120.00, 90.00 degrees
Last column: nearest neighbours and their distance in Å.
Element x y z (fractional)
S 0.7485 0.2526 0.4971  2 Sm 2.85, 3 Nd 2.85-2.89, 1 La 2.89
S 0.7480 0.7440 0.4960  3 Sm 2.85, 3 Nd 2.89
S 0.2520 0.2560 0.5040  3 Sm 2.85, 3 Nd 2.89
Sm 0.5000 0.5000 0.5000  6 S 2.85
La 0.0000 0.5000 0.0000  6 S 2.89
Nd 0.5000 0.0000 0.5000  6 S 2.89
Nd 0.0000 0.0000 0.0000  6 S 2.89
S 0.2555 0.2526 0.0041  2 Sm 2.85, 3 Nd 2.85-2.89, 1 La 2.89
Sm 0.0000 0.5000 0.5000  6 S 2.85
S 0.7445 0.7474 0.9959  2 Sm 2.85, 3 Nd 2.85-2.89, 1 La 2.89
S 0.7486 0.2526 0.0041  2 Sm 2.85, 3 Nd 2.85-2.89, 1 La 2.89
Nd 0.5000 0.0000 0.0000  6 S 2.85
S 0.2515 0.7474 0.5029  2 Sm 2.85, 3 Nd 2.85-2.89, 1 La 2.89
Nd 0.0000 0.0000 0.5000  6 S 2.89
S 0.2514 0.7474 0.9959  2 Sm 2.85, 3 Nd 2.85-2.89, 1 La 2.89
Sm 0.5000 0.5000 0.0000  6 S 2.85

---

4.
Density functional theory data (PBE-GGA) for crystalline Cr2TcTe at its relaxed geometry.

Computed properties:
DFT total energy = -31.21 eV per cell
uncorrected formation energy = 0.39 eV/atom

Cell lengths 3.0823, 3.0823, 6.2592 Å; angles 90.00, 90.00, 90.00 degrees
Last column: nearest neighbours and their distance in Å.
Element x y z (fractional)
Te 0.5000 0.5000 0.7652  5 Cr 2.70-2.98, 4 Tc 2.84
Cr 0.0000 0.0000 0.0193  4 Cr 2.59, 4 Te 2.70, 1 Tc 2.85
Cr 0.5000 0.5000 0.2414  4 Cr 2.59, 4 Tc 2.62
Tc 0.0000 0.0000 0.4741  5 Cr 2.62-2.85, 4 Te 2.84

---

5.
Density functional theory data (PBE-GGA) for crystalline InH2I at its relaxed geometry.

Computed properties:
DFT total energy = -7.94 eV per cell
relative energy among the computed polymorphs = 862.7 meV/atom

Cell lengths 4.5640, 4.5640, 4.5640 Å; angles 60.00, 60.00, 60.00 degrees
Last column: nearest neighbours and their distance in Å.
Element x y z (fractional)
H 0.7500 0.7500 0.7500  4 I 2.79, 4 In 2.79
I 0.5000 0.5000 0.5000  8 H 2.79
H 0.2500 0.2500 0.2500  4 I 2.79, 4 In 2.79
In 0.0000 0.0000 0.0000  8 H 2.79

---

6.
Density functional theory data (PBE-GGA) for crystalline Zr4CoN2 at its relaxed geometry.

Computed properties:
DFT total energy = -131.76 eV per cell
uncorrected formation energy = -1.13 eV/atom

Cell lengths 3.2995, 5.7461, 11.7143 Å; angles 90.00, 90.00, 106.68 degrees
Last column: nearest neighbours and their distance in Å.
Element x y z (fractional)
Zr 0.7691 0.5382 0.1113  3 N 2.27-2.30
Zr 0.9358 0.8715 0.7500  2 N 2.35, 2 Co 2.53
N 0.8660 0.7321 0.9400  6 Zr 2.27-2.35
Zr 0.2309 0.4618 0.6113  3 N 2.27-2.30
N 0.1340 0.2679 0.0600  6 Zr 2.27-2.35
Co 0.6101 0.2202 0.7500  6 Zr 2.53-2.67
Zr 0.5000 0.0000 0.0000  4 N 2.32
N 0.8660 0.7321 0.5600  6 Zr 2.27-2.35
Zr 0.0642 0.1285 0.2500  2 N 2.35, 2 Co 2.53
Co 0.3899 0.7798 0.2500  6 Zr 2.53-2.67
Zr 0.7691 0.5382 0.3887  3 N 2.27-2.30
N 0.1340 0.2679 0.4400  6 Zr 2.27-2.35
Zr 0.5000 0.0000 0.5000  4 N 2.32
Zr 0.2309 0.4618 0.8887  3 N 2.27-2.30

---

7.
Density functional theory data (PBE-GGA) for crystalline Rb2SiI6Br at its relaxed geometry.

Computed properties:
DFT total energy = -24.54 eV per cell
uncorrected formation energy = -0.62 eV/atom

Cell lengths 8.5823, 8.5823, 8.4056 Å; angles 59.30, 59.30, 90.00 degrees
Last column: nearest neighbours and their distance in Å.
Element x y z (fractional)
I 0.7235 0.2765 0.0000  1 Si 2.71
Br 0.0000 0.0000 0.0000  6 I 3.08-3.36
I 0.2647 0.2647 0.4706  1 Si 2.74
I 0.7235 0.7235 0.0000  1 Si 2.71
I 0.2765 0.2765 0.0000  1 Si 2.71
Rb 0.2500 0.7500 0.5000  12 I 4.22-4.29
I 0.7353 0.7353 0.5294  1 Si 2.74
I 0.2765 0.7235 0.0000  1 Si 2.71
Si 0.5000 0.5000 0.0000  6 I 2.71-2.74
Rb 0.7500 0.2500 0.5000  12 I 4.22-4.29

---

8.
Density functional theory data (PBE-GGA) for crystalline LiTmCdSn at its relaxed geometry.

Computed properties:
DFT total energy = -13.02 eV per cell
relative energy among the computed polymorphs = 0.0 meV/atom

Cell lengths 4.1932, 4.5354, 4.8068 Å; angles 90.00, 90.00, 90.00 degrees
Last column: nearest neighbours and their distance in Å.
Element x y z (fractional)
Tm 0.5000 0.0000 0.5000  4 Sn 3.09, 4 Cd 3.19, 4 Li 3.30
Li 0.5000 0.5000 0.0000  4 Cd 3.09, 4 Sn 3.19, 4 Tm 3.30
Cd 0.0000 0.0000 0.0000  4 Li 3.09, 4 Tm 3.19, 4 Sn 3.30
Sn 0.0000 0.5000 0.5000  4 Tm 3.09, 4 Li 3.19, 4 Cd 3.30

---

> Among the records above, which one has the highest DFT total energy?

K2CdH

---

> Which value of DFT total energy does entry 4 give?

-31.21 eV per cell